{"formula": "BaCaSn2", "functional": "GGA-PBE", "state": "relaxed", "dft_energy_ev_per_atom": -3.619, "magnetic_moment_mub_per_fu": 0.000, "dos_at_fermi_per_ev_cell": 8.514, "cell": [[4.579, 0.000, 0.000], [0.000, 9.731, 0.000], [0.000, 0.000, 12.922]], "species": ["Sn", "Sn", "Sn", "Sn", "Sn", "Sn", "Sn", "Sn", "Ba", "Ba", "Ba", "Ba", "Ca", "Ca", "Ca", "Ca"], "frac_coords": [[0.250, 0.732, 0.940], [0.750, 0.268, 0.060], [0.750, 0.828, 0.817], [0.750, 0.328, 0.683], [0.250, 0.172, 0.183], [0.750, 0.768, 0.440], [0.250, 0.232, 0.560], [0.250, 0.672, 0.317], [0.750, 0.379, 0.366], [0.250, 0.621, 0.634], [0.250, 0.121, 0.866], [0.750, 0.879, 0.134], [0.750, 0.504, 0.885], [0.250, 0.496, 0.115], [0.750, 0.004, 0.615], [0.250, 0.996, 0.385]]}

{"formula": "BaCaSn2", "functional": "GGA-PBE", "state": "relaxed", "dft_energy_ev_per_atom": -3.580, "magnetic_moment_mub_per_fu": 0.000, "dos_at_fermi_per_ev_cell": 1.907, "cell": [[-3.021, 2.650, -1.190], [-2.530, -3.244, -0.803], [-2.606, 0.255, 7.181]], "species": ["Ba", "Ca", "Sn", "Sn"], "frac_coords": [[0.500, 0.500, 0.500], [0.500, 0.500, 0.000], [0.000, 0.000, 0.199], [0.000, 0.000, 0.801]]}

{"formula": "Ba2CaSn", "functional": "GGA-PBE", "state": "relaxed", "dft_energy_ev_per_atom": -2.804, "magnetic_moment_mub_per_fu": 0.000, "dos_at_fermi_per_ev_cell": 2.195, "cell": [[-2.281, -4.524, -1.646], [4.035, -2.910, 2.407], [-2.943, -0.217, 4.673]], "species": ["Ba", "Ba", "Ca", "Sn"], "frac_coords": [[0.000, 0.000, 0.500], [0.000, 0.500, 0.000], [0.500, 0.000, 0.000], [0.500, 0.500, 0.500]]}

{"formula": "BaCaSn4", "functional": "GGA-PBE", "state": "relaxed", "polymorph_energy_ev_per_atom": 0.063, "magnetic_moment_mub_per_fu": 0.000, "dos_at_fermi_per_ev_cell": 3.512, "cell": [[-0.886, -4.481, -0.073], [2.277, -2.680, -6.110], [5.515, -3.463, 2.702]], "species": ["Ba", "Sn", "Sn", "Sn", "Sn", "Ca"], "frac_coords": [[0.000, 0.000, 0.000], [0.780, 0.561, 0.880], [0.220, 0.120, 0.439], [0.780, 0.880, 0.561], [0.220, 0.439, 0.120], [0.500, 0.500, 0.500]]}

{"formula": "BaCaSn2", "functional": "GGA-PBE", "state": "relaxed", "dft_energy_ev_per_atom": -3.236, "magnetic_moment_mub_per_fu": 0.000, "dos_at_fermi_per_ev_cell": 0.738, "cell": [[-1.631, 2.064, -4.897], [0.097, -5.110, -2.186], [-10.920, -2.913, -0.746]], "species": ["Sn", "Sn", "Sn", "Sn", "Ba", "Ba", "Ca", "Ca"], "frac_coords": [[0.375, 0.469, 0.750], [0.219, 0.625, 0.250], [0.531, 0.125, 0.250], [0.875, 0.781, 0.750], [0.000, 0.000, 0.000], [0.750, 0.250, 0.500], [0.500, 0.500, 0.000], [0.250, 0.750, 0.500]]}

{"formula": "BaCaSn2", "functional": "GGA-PBE", "state": "relaxed", "dft_energy_ev_per_atom": -3.631, "magnetic_moment_mub_per_fu": 0.000, "dos_at_fermi_per_ev_cell": 6.315, "cell": [[-4.127, -2.315, -2.285], [4.661, -3.836, -4.532], [0.607, -10.315, 9.355]], "species": ["Ca", "Ca", "Ca", "Ca", "Sn", "Sn", "Sn", "Sn", "Sn", "Sn", "Sn", "Sn", "Ba", "Ba", "Ba", "Ba"], "frac_coords": [[0.250, 0.250, 0.532], [0.750, 0.750, 0.468], [0.750, 0.250, 0.032], [0.250, 0.750, 0.968], [0.750, 0.444, 0.643], [0.250, 0.945, 0.357], [0.250, 0.056, 0.143], [0.750, 0.944, 0.857], [0.250, 0.556, 0.357], [0.750, 0.555, 0.857], [0.250, 0.445, 0.143], [0.750, 0.055, 0.643], [0.750, 0.251, 0.308], [0.250, 0.749, 0.692], [0.750, 0.751, 0.192], [0.250, 0.249, 0.808]]}

{"formula": "BaSrCaSn2", "functional": "GGA-PBE", "state": "relaxed", "dft_energy_ev_per_atom": -2.302, "magnetic_moment_mub_per_fu": 0.000, "dos_at_fermi_per_ev_cell": 4.450, "cell": [[6.220, 0.000, 0.000], [0.000, 6.070, 0.000], [0.000, 0.000, 6.220]], "species": ["Sn", "Sn", "Ba", "Sr", "Ca"], "frac_coords": [[0.000, 0.000, 0.500], [0.500, 0.000, 0.000], [0.000, 0.000, 0.000], [0.500, 0.500, 0.500], [0.000, 0.500, 0.000]]}

{"formula": "Ba2CaSnTe4", "functional": "GGA-PBE", "state": "relaxed", "formation_energy_uncorrected_mev_per_atom": -1338, "magnetic_moment_mub_per_fu": 0.000, "dos_at_fermi_per_ev_cell": 0.000, "cell": [[-0.678, -0.123, 4.717], [1.843, -8.059, 0.056], [8.159, -0.944, 1.148]], "species": ["Ca", "Te", "Te", "Te", "Te", "Ba", "Ba", "Sn"], "frac_coords": [[0.000, 0.500, 0.500], [0.000, 0.725, 0.756], [0.500, 0.724, 0.260], [0.500, 0.276, 0.740], [0.000, 0.275, 0.244], [0.000, 0.000, 0.000], [0.500, 0.000, 0.500], [0.500, 0.500, 0.000]]}

{"formula": "BaCaTlSn", "functional": "GGA-PBE", "state": "relaxed", "dft_energy_ev_per_atom": -3.058, "magnetic_moment_mub_per_fu": 0.000, "dos_at_fermi_per_ev_cell": 3.511, "cell": [[-4.082, -2.874, -2.918], [1.462, -4.450, -3.391], [-1.402, -5.393, 1.544]], "species": ["Ca", "Ba", "Sn", "Tl"], "frac_coords": [[0.000, 0.000, 0.000], [0.500, 0.500, 0.500], [0.750, 0.750, 0.750], [0.250, 0.250, 0.250]]}

{"formula": "Ba2CaTl6Sn", "functional": "GGA-PBE", "state": "relaxed", "dft_energy_ev_per_atom": -2.514, "magnetic_moment_mub_per_fu": 0.000, "dos_at_fermi_per_ev_cell": 5.361, "cell": [[8.227, 0.000, 0.000], [0.001, 8.227, 0.000], [4.114, 4.113, 5.818]], "species": ["Tl", "Tl", "Tl", "Tl", "Tl", "Tl", "Ca", "Ba", "Ba", "Sn"], "frac_coords": [[0.247, 0.753, 0.000], [0.753, 0.247, 0.000], [0.247, 0.247, 0.506], [0.247, 0.247, 0.000], [0.753, 0.753, 0.000], [0.753, 0.753, 0.494], [0.500, 0.500, 0.000], [0.250, 0.750, 0.500], [0.750, 0.250, 0.500], [0.000, 0.000, 0.000]]}

{"formula": "Ba2CaZn3Sn4", "functional": "GGA-PBE", "state": "relaxed", "dft_energy_ev_per_atom": -3.016, "magnetic_moment_mub_per_fu": 0.000, "dos_at_fermi_per_ev_cell": 3.217, "cell": [[-1.120, -4.649, 0.835], [4.385, -1.342, -1.593], [4.412, 0.971, 11.323]], "species": ["Zn", "Zn", "Zn", "Sn", "Sn", "Sn", "Sn", "Ba", "Ba", "Ca"], "frac_coords": [[0.500, 0.000, 0.872], [0.000, 0.000, 0.500], [0.000, 0.500, 0.128], [0.000, 0.500, 0.350], [0.000, 0.000, 0.000], [0.500, 0.500, 0.000], [0.500, 0.000, 0.650], [0.500, 0.000, 0.237], [0.000, 0.500, 0.763], [0.500, 0.500, 0.500]]}

{"formula": "Ba9Sr4Ca", "functional": "GGA-PBE", "state": "relaxed", "dft_energy_ev_per_atom": -1.796, "magnetic_moment_mub_per_fu": 0.000, "dos_at_fermi_per_ev_cell": 36.269, "cell": [[-0.370, 0.624, -13.207], [-5.847, -10.935, -0.353], [-6.546, 10.515, 0.680]], "species": ["Ba", "Ba", "Ba", "Ba", "Ba", "Ba", "Ba", "Ba", "Ba", "Ba", "Ba", "Ba", "Ba", "Ba", "Ba", "Ba", "Ba", "Ba", "Sr", "Sr", "Sr", "Sr", "Sr", "Sr", "Sr", "Sr", "Ca", "Ca"], "frac_coords": [[0.454, 0.405, 0.202], [0.250, 0.464, 0.927], [0.546, 0.202, 0.798], [0.046, 0.405, 0.202], [0.454, 0.798, 0.202], [0.954, 0.202, 0.405], [0.546, 0.202, 0.405], [0.750, 0.536, 0.073], [0.750, 0.536, 0.464], [0.046, 0.798, 0.202], [0.454, 0.798, 0.595], [0.046, 0.798, 0.595], [0.250, 0.464, 0.536], [0.954, 0.595, 0.798], [0.250, 0.073, 0.536], [0.954, 0.202, 0.798], [0.750, 0.927, 0.464], [0.546, 0.595, 0.798], [0.250, 0.781, 0.890], [0.500, 0.000, 0.000], [0.750, 0.890, 0.781], [0.000, 0.000, 0.000], [0.250, 0.110, 0.890], [0.750, 0.219, 0.110], [0.250, 0.110, 0.219], [0.750, 0.890, 0.110], [0.250, 0.667, 0.333], [0.750, 0.333, 0.667]]}